Entry 1:
## Cu2NiSe (PBE-GGA)

Data for Cu2NiSe after structural relaxation.

abc: 2.7377 2.7377 25.4219
angles: 90.00 90.00 120.00
With the nearest neighbours (Å) after each atom.
Space group R-3m (No. 166, hexagonal axes)
Unique sites:
Cu 0.0000 0.0000 0.2427 [6 per cell]  3 Ni 2.50, 6 Cu 2.74, 3 Se 2.79
Ni 0.0000 0.0000 0.5000 [3 per cell]  6 Cu 2.50, 6 Ni 2.74
Se 0.0000 0.0000 0.0000 [3 per cell]  6 Se 2.74, 6 Cu 2.79

Calculated values
Its energy relative to the elements, uncorrected is 0.30 eV/atom.



Entry 2:
## Cu2NiSe (PBE-GGA)

Data for Cu2NiSe after structural relaxation.

abc: 2.9065 4.4959 4.1807
angles: 90.00 90.19 90.00
With the nearest neighbours (Å) after each atom.
Space group P2/m (No. 10)
Unique sites:
Cu 0.2345 0.0000 0.2608 [2 per cell]  4 Cu 2.42-2.68, 2 Ni 2.58, 2 Se 2.59
Ni 0.5000 0.5000 0.5000 [1 per cell]  4 Se 2.54-2.55, 4 Cu 2.58
Se 0.0000 0.5000 0.0000 [1 per cell]  4 Ni 2.54-2.55, 4 Cu 2.59

Calculated values
Its energy relative to the elements, uncorrected is 0.17 eV/atom.



Entry 3:
## CuNiSe (PBE-GGA)

Data for CuNiSe after structural relaxation.

abc: 3.9382 3.9382 3.3195
angles: 90.00 90.00 120.00
With the nearest neighbours (Å) after each atom.
Space group P-6m2 (No. 187)
Unique sites:
Cu 0.0000 0.0000 0.0000 [1 per cell]  6 Se 2.82, 6 Ni 2.82
Ni 0.6667 0.3333 0.5000 [1 per cell]  3 Se 2.27
Se 0.3333 0.6667 0.5000 [1 per cell]  3 Ni 2.27

Calculated values
Its energy relative to the elements, uncorrected is 0.12 eV/atom.



Entry 4:
## CuNi2Se (PBE-GGA)

Data for CuNi2Se after structural relaxation.

abc: 3.0183 3.0183 20.6533
angles: 90.00 90.00 120.00
With the nearest neighbours (Å) after each atom.
Space group R-3m (No. 166, hexagonal axes)
Unique sites:
Cu 0.0000 0.0000 0.0000 [3 per cell]  6 Ni 2.48
Ni 0.0000 0.0000 0.2479 [6 per cell]  3 Se 2.42, 3 Cu 2.48
Se 0.0000 0.0000 0.5000 [3 per cell]  6 Ni 2.42

Calculated values
Its energy relative to the elements, uncorrected is 0.19 eV/atom.



Entry 5:
## CuNiSe3 (PBE-GGA)

Data for CuNiSe3 after structural relaxation.

abc: 4.6954 4.6954 4.6954
angles: 90.00 90.00 90.00
With the nearest neighbours (Å) after each atom.
Space group Pm-3m (No. 221)
Unique sites:
Cu 0.0000 0.0000 0.0000 [1 per cell]  12 Se 3.32
Ni 0.5000 0.5000 0.5000 [1 per cell]  6 Se 2.35
Se 0.0000 0.5000 0.5000 [3 per cell]  2 Ni 2.35

Calculated values
Its energy relative to the elements, uncorrected is 0.56 eV/atom.



Entry 6:
## CuNi3Se6 (PBE-GGA)

Data for CuNi3Se6 after structural relaxation.

abc: 6.2438 6.2438 15.9767
angles: 90.00 90.00 120.00
With the nearest neighbours (Å) after each atom.
Space group R3 (No. 146, hexagonal axes)
Unique sites:
Cu 0.0000 0.0000 0.0000 [3 per cell]  6 Se 2.47-2.57
Ni 0.0000 0.0000 0.2001 [3 per cell]  6 Se 2.41-2.47
Ni 0.0000 0.0000 0.5080 [3 per cell]  6 Se 2.41-2.42
Ni 0.0000 0.0000 0.7051 [3 per cell]  6 Se 2.41-2.49
Se 0.0029 0.6898 0.1052 [9 per cell]  3 Ni 2.41-2.47, 1 Cu 2.57
Se 0.0392 0.3592 0.2700 [9 per cell]  3 Ni 2.41-2.49, 1 Cu 2.47

Calculated values
Its energy relative to the elements, uncorrected is -0.20 eV/atom.



Entry 7:
## Cu2Ni2Se (PBE-GGA)

Data for Cu2Ni2Se after structural relaxation.

abc: 6.0114 6.0114 3.6911
angles: 90.00 90.00 90.00
With the nearest neighbours (Å) after each atom.
Space group P4/mbm (No. 127)
Unique sites:
Cu 0.1483 0.3517 0.0000 [4 per cell]  1 Cu 2.52, 6 Ni 2.54-2.56
Ni 0.1473 0.6473 0.5000 [4 per cell]  2 Se 2.30, 1 Ni 2.50, 6 Cu 2.54-2.56
Se 0.0000 0.0000 0.5000 [2 per cell]  4 Ni 2.30

Calculated values
Its energy relative to the elements, uncorrected is 0.12 eV/atom.



Entry 8:
## CuNi2Se (PBE-GGA)

Data for CuNi2Se after structural relaxation.

abc: 5.5019 5.5158 3.3138
angles: 90.00 90.00 90.00
With the nearest neighbours (Å) after each atom.
Space group Cmmm (No. 65)
Unique sites:
Cu 0.0000 0.0000 0.0000 [2 per cell]  8 Ni 2.56, 4 Se 2.75-2.76
Ni 0.2500 0.2500 0.5000 [4 per cell]  4 Se 2.56, 4 Cu 2.56, 4 Ni 2.75-2.76
Se 0.0000 0.5000 0.0000 [2 per cell]  8 Ni 2.56, 4 Cu 2.75-2.76

Calculated values
Its energy relative to the elements, uncorrected is 0.10 eV/atom.